The following is a DFT calculation (GGA+U) of a relaxed ZnFe4CoO8 crystal.

Unit cell a=6.0025 b=6.0025 c=6.0025 alpha=60.00 beta=60.00 gamma=60.00
With the nearest neighbours (Å) after each atom.
Sites, in units of the cell vectors:
1 Zn 0.0000 0.0000 0.0000  4 O 1.98
2 Fe 0.1245 0.6252 0.6252  6 O 2.04-2.06
3 Fe 0.6252 0.1245 0.6252  6 O 2.04-2.06
4 Fe 0.6252 0.6252 0.1245  6 O 2.04-2.06
5 Fe 0.6252 0.6252 0.6252  6 O 2.04-2.06
6 Co 0.2500 0.2500 0.2500  4 O 1.96
7 O 0.3830 0.3830 0.3830  1 Co 1.96, 3 Fe 2.06
8 O 0.3830 0.3830 0.8510  1 Co 1.96, 3 Fe 2.06
9 O 0.3830 0.8510 0.3830  1 Co 1.96, 3 Fe 2.06
10 O 0.4034 0.8655 0.8655  1 Zn 1.98, 3 Fe 2.04
11 O 0.8510 0.3830 0.3830  1 Co 1.96, 3 Fe 2.06
12 O 0.8655 0.4034 0.8655  1 Zn 1.98, 3 Fe 2.04
13 O 0.8655 0.8655 0.4034  1 Zn 1.98, 3 Fe 2.04
14 O 0.8655 0.8655 0.8655  1 Zn 1.98, 3 Fe 2.04

VASP energy = -6.047 eV per atom
Volume = 10.9 A^3/atom